Tm3AlN | SCAN | single point on PBEsol structure

POSCAR file:
```
Tm3AlN
1.0
-1.528 4.168 1.318
-4.232 -1.060 -1.554
-1.097 -1.717 4.159
Tm Al N
3 1 1
Direct
0.500 0.500 0.000
0.500 0.000 0.500
0.000 0.500 0.500
0.000 0.000 0.000
0.500 0.500 0.500
```

---

TiTe2Ir | SCAN | single point on PBEsol structure

POSCAR file:
```
TiTe2Ir
1.0
3.289 0.000 0.000
1.645 2.848 0.000
1.645 0.949 8.842
Ir Te Ti
1 2 1
Direct
0.000 0.000 0.000
0.906 0.906 0.283
0.094 0.094 0.717
0.500 0.500 0.500
```

---

SnMoSe2Br | SCAN | single point on PBEsol structure

POSCAR file:
```
SnMoSe2Br
1.0
4.847 0.000 0.000
0.000 4.847 0.000
0.000 0.000 5.204
Mo Se Sn Br
1 2 1 1
Direct
0.000 0.000 0.000
0.000 0.500 0.000
0.500 0.000 0.000
0.500 0.500 0.500
0.000 0.000 0.500
```

---

Record-wise DFT total energy values, in eV per atom: -35.61 -40.27 -25.98
Record-wise DOS(E_F) values, in states/eV/atom: 0.334 0.690 0.567